(one)
The following is a DFT calculation (PBE) of a relaxed PaTlBi crystal.

```
data_PaTlBi
_symmetry_space_group_name_H-M 'F -4 3 m'
_symmetry_Int_Tables_number 216
_symmetry_space_group_name_Hall 'F -4 2 3'
_cell_length_a 7.382
_cell_length_b 7.382
_cell_length_c 7.382
_cell_angle_alpha 90.00
_cell_angle_beta 90.00
_cell_angle_gamma 90.00
loop_
_atom_site_label
_atom_site_fract_x
_atom_site_fract_y
_atom_site_fract_z
Pa1 0.000 0.000 0.000
Tl1 0.250 0.250 0.750
Bi1 0.000 0.000 0.500
```

Summary:
Magnetization: 0.684 μB per atom
Calculated volume: 402.3 Å³/cell


(two)
The following is a DFT calculation (PBE) of a relaxed PaTlBi crystal.

```
data_PaTlBi
_symmetry_space_group_name_H-M 'F -4 3 m'
_symmetry_Int_Tables_number 216
_symmetry_space_group_name_Hall 'F -4 2 3'
_cell_length_a 7.410
_cell_length_b 7.410
_cell_length_c 7.410
_cell_angle_alpha 90.00
_cell_angle_beta 90.00
_cell_angle_gamma 90.00
loop_
_atom_site_label
_atom_site_fract_x
_atom_site_fract_y
_atom_site_fract_z
Pa1 0.000 0.000 0.000
Tl1 0.250 0.250 0.250
Bi1 0.250 0.250 0.750
```

Summary:
Magnetization: 0.358 μB per atom
Calculated volume: 406.9 Å³/cell


Most stable structure: (two)


(one)
The following is a DFT calculation (PBE) of a relaxed BiPd9 crystal.

```
data_BiPd9
_symmetry_space_group_name_H-M 'P 4/n m m'
_symmetry_Int_Tables_number 129
_cell_length_a 2.922
_cell_length_b 2.922
_cell_length_c 48.392
_cell_angle_alpha 90.00
_cell_angle_beta 90.00
_cell_angle_gamma 90.00
loop_
_symmetry_equiv_pos_as_xyz
'x,y,z'
'-x,-y,-z'
'-y+1/2,x,z'
'y+1/2,-x,-z'
'-x+1/2,-y+1/2,z'
'x+1/2,y+1/2,-z'
'y,-x+1/2,z'
'-y,x+1/2,-z'
'x+1/2,-y,-z'
'-x+1/2,y,z'
'-y,-x,-z'
'y,x,z'
'-x,y+1/2,-z'
'x,-y+1/2,z'
'y+1/2,x+1/2,-z'
'-y+1/2,-x+1/2,z'
loop_
_atom_site_label
_atom_site_fract_x
_atom_site_fract_y
_atom_site_fract_z
Bi1 0.250 0.250 0.137
Pd1 0.250 0.250 0.219
Pd2 0.250 0.250 0.294
Pd3 0.250 0.250 0.369
Pd4 0.250 0.250 0.444
Pd5 0.250 0.250 0.519
Pd6 0.250 0.250 0.593
Pd7 0.250 0.250 0.668
Pd8 0.250 0.250 0.743
Pd9 0.250 0.250 0.820
```

Summary:
Calculated volume: 413.2 Å³/cell


(two)
The following is a DFT calculation (PBE) of a relaxed BiPd9 crystal.

```
data_BiPd9
_symmetry_space_group_name_H-M 'P m m n'
_symmetry_Int_Tables_number 59
_cell_length_a 2.860
_cell_length_b 3.843
_cell_length_c 38.759
_cell_angle_alpha 90.00
_cell_angle_beta 90.00
_cell_angle_gamma 90.00
loop_
_symmetry_equiv_pos_as_xyz
'x,y,z'
'-x,-y,-z'
'-x+1/2,-y+1/2,z'
'x+1/2,y+1/2,-z'
'x+1/2,-y,-z'
'-x+1/2,y,z'
'-x,y+1/2,-z'
'x,-y+1/2,z'
loop_
_atom_site_label
_atom_site_fract_x
_atom_site_fract_y
_atom_site_fract_z
Bi1 0.250 0.250 0.151
Pd1 0.250 0.250 0.229
Pd2 0.250 0.250 0.301
Pd3 0.250 0.250 0.374
Pd4 0.250 0.250 0.446
Pd5 0.250 0.250 0.518
Pd6 0.250 0.250 0.590
Pd7 0.250 0.250 0.662
Pd8 0.250 0.250 0.735
Pd9 0.250 0.250 0.809
```

Summary:
Calculated volume: 426.0 Å³/cell


Most stable structure: (two)


(one)
The following is a DFT calculation (PBE) of a relaxed RbBiPd crystal.

```
data_RbBiPd
_symmetry_space_group_name_H-M 'F -4 3 m'
_symmetry_Int_Tables_number 216
_symmetry_space_group_name_Hall 'F -4 2 3'
_cell_length_a 7.240
_cell_length_b 7.240
_cell_length_c 7.240
_cell_angle_alpha 90.00
_cell_angle_beta 90.00
_cell_angle_gamma 90.00
loop_
_atom_site_label
_atom_site_fract_x
_atom_site_fract_y
_atom_site_fract_z
Rb1 0.000 0.000 0.000
Bi1 0.000 0.000 0.500
Pd1 0.250 0.250 0.750
```

Summary:
Calculated volume: 379.6 Å³/cell


(two)
The following is a DFT calculation (PBE) of a relaxed RbBiPd crystal.

```
data_RbBiPd
_symmetry_space_group_name_H-M 'F -4 3 m'
_symmetry_Int_Tables_number 216
_symmetry_space_group_name_Hall 'F -4 2 3'
_cell_length_a 7.555
_cell_length_b 7.555
_cell_length_c 7.555
_cell_angle_alpha 90.00
_cell_angle_beta 90.00
_cell_angle_gamma 90.00
loop_
_atom_site_label
_atom_site_fract_x
_atom_site_fract_y
_atom_site_fract_z
Rb1 0.000 0.000 0.000
Bi1 0.250 0.250 0.750
Pd1 0.250 0.250 0.250
```

Summary:
Calculated volume: 431.2 Å³/cell


Most stable structure: (one)